# 1
DFT (PBE-GGA) results for an optimized crystal structure of Ni3Pt2.

Properties
E_form ... -0.05 eV per atom
Excess energy over the best structure of this formula in the dataset ... 0.001 eV per atom
Mass density ... 14.30 Mg/m³
Energy ... -5.94 eV per atom
Spin magnetization ... 8.08 Bohr magnetons per cell

a b c (Å): 2.6871 2.6871 31.5466
angles (deg): 90.00 90.00 120.00
Space group R-3m (No. 166, hexagonal axes)
One atom of each set of equivalent atoms:
Ni 0.0000 0.0000 0.0000 [3 per cell]
Ni 0.0000 0.0000 0.1970 [6 per cell]
Pt 0.0000 0.0000 0.4013 [6 per cell]

---

# 2
DFT (PBE-GGA) results for an optimized crystal structure of Ni3Pt.

Properties
E_form ... 0.09 eV per atom
Mass density ... 12.34 Mg/m³
Energy ... -5.75 eV per atom
Spin magnetization ... 5.49 Bohr magnetons per cell

a b c (Å): 8.1936 8.1936 2.5772
angles (deg): 90.00 90.00 120.00
Space group R-3m (No. 166, hexagonal axes)
One atom of each set of equivalent atoms:
Ni 0.0000 0.5000 0.0000 [9 per cell]
Pt 0.0000 0.0000 0.0000 [3 per cell]